No. 1
Computed, not measured: a relaxed structure of NdH3 at the PBE-GGA level of DFT.

- crystal system = hexagonal
- space-group type = P6_3/m, No. 176
- electronic total energy (eV per atom) = -4.20

a = 5.792 Å, b = 5.792 Å, c = 3.737 Å
α = 90.00°, β = 90.00°, γ = 120.00°
Fractional positions:
H 0.095 0.675 0.750
H 0.420 0.095 0.250
Nd 0.667 0.333 0.750
H 0.580 0.905 0.750
H 0.675 0.580 0.250
H 0.905 0.325 0.250
H 0.325 0.420 0.750
Nd 0.333 0.667 0.250


No. 2
Computed, not measured: a relaxed structure of NdH7 at the PBE-GGA level of DFT.

- crystal system = monoclinic
- space-group type = C2/c, No. 15
- electronic total energy (eV per atom) = -3.56

a = 3.994 Å, b = 3.994 Å, c = 7.601 Å
α = 104.40°, β = 104.40°, γ = 92.60°
Fractional positions:
H 0.796 0.204 0.750
H 0.622 0.807 0.088
H 0.204 0.796 0.250
H 0.004 0.282 0.078
Nd 0.609 0.391 0.250
H 0.807 0.622 0.588
H 0.996 0.718 0.922
H 0.193 0.378 0.412
H 0.752 0.135 0.522
H 0.248 0.865 0.478
H 0.865 0.248 0.978
Nd 0.391 0.609 0.750
H 0.718 0.996 0.422
H 0.135 0.752 0.022
H 0.378 0.193 0.912
H 0.282 0.004 0.578


No. 3
Computed, not measured: a relaxed structure of NdH at the PBE-GGA level of DFT.

- crystal system = hexagonal
- space-group type = P-6m2, No. 187
- electronic total energy (eV per atom) = -4.24

a = 3.424 Å, b = 3.424 Å, c = 3.361 Å
α = 90.00°, β = 90.00°, γ = 120.00°
Fractional positions:
Nd 0.333 0.667 0.250
H 0.667 0.333 0.750


No. 4
Computed, not measured: a relaxed structure of NdH at the PBE-GGA level of DFT.

- crystal system = cubic
- space-group type = F-43m, No. 216
- electronic total energy (eV per atom) = -4.39

a = 3.825 Å, b = 3.825 Å, c = 3.825 Å
α = 60.00°, β = 60.00°, γ = 60.00°
Last column: magnetic moment on the atom in μB.
Fractional positions:
Nd 0.250 0.250 0.250  0.08
H 0.000 0.000 0.000  0.00


No. 5
Computed, not measured: a relaxed structure of NdH at the PBE-GGA level of DFT.

- crystal system = cubic
- space-group type = Fm-3m, No. 225
- electronic total energy (eV per atom) = -4.46

a = 3.622 Å, b = 3.622 Å, c = 3.622 Å
α = 60.00°, β = 60.00°, γ = 60.00°
Fractional positions:
Nd 0.500 0.500 0.500
H 0.000 0.000 0.000


No. 6
Computed, not measured: a relaxed structure of NdNiSnH at the PBE-GGA level of DFT.

- crystal system = orthorhombic
- space-group type = Pnma, No. 62
- electronic total energy (eV per atom) = -5.03

a = 7.253 Å, b = 8.451 Å, c = 4.383 Å
α = 90.00°, β = 90.00°, γ = 90.00°
Fractional positions:
Nd 0.487 0.810 0.743
Nd 0.987 0.690 0.743
H 0.558 0.919 0.243
Ni 0.220 0.099 0.743
Ni 0.780 0.901 0.243
Sn 0.159 0.930 0.243
Ni 0.720 0.401 0.743
Ni 0.280 0.599 0.243
H 0.442 0.081 0.743
H 0.942 0.419 0.743
H 0.058 0.581 0.243
Sn 0.659 0.570 0.243
Nd 0.013 0.310 0.243
Nd 0.513 0.190 0.243
Sn 0.341 0.430 0.743
Sn 0.841 0.070 0.743


No. 7
Computed, not measured: a relaxed structure of Nd2P3H5O10 at the PBE-GGA level of DFT.

- crystal system = monoclinic
- space-group type = P2_1/c, No. 14
- electronic total energy (eV per atom) = -6.69

a = 9.469 Å, b = 7.880 Å, c = 13.410 Å
α = 90.00°, β = 113.17°, γ = 90.00°
Fractional positions:
P 0.048 0.879 0.826
P 0.952 0.121 0.174
H 0.307 0.775 0.018
H 0.279 0.068 0.831
O 0.060 0.416 0.793
O 0.189 0.834 0.142
H 0.721 0.568 0.669
Nd 0.908 0.786 0.536
H 0.852 0.253 0.172
O 0.661 0.818 0.895
Nd 0.092 0.286 0.964
O 0.651 0.615 0.701
Nd 0.685 0.581 0.233
O 0.651 0.885 0.201
O 0.189 0.666 0.642
Nd 0.315 0.081 0.267
O 0.414 0.619 0.180
P 0.952 0.379 0.674
H 0.498 0.605 0.485
O 0.586 0.381 0.820
H 0.366 0.027 0.751
O 0.143 0.937 0.543
H 0.721 0.932 0.169
Nd 0.908 0.714 0.036
H 0.693 0.225 0.982
P 0.268 0.802 0.598
O 0.857 0.437 0.957
P 0.450 0.246 0.054
H 0.852 0.247 0.672
O 0.409 0.835 0.368
O 0.349 0.115 0.799
O 0.857 0.063 0.457
H 0.634 0.527 0.749
P 0.268 0.698 0.098
P 0.732 0.302 0.902
H 0.366 0.473 0.251
O 0.339 0.318 0.605
O 0.058 0.177 0.117
H 0.148 0.753 0.328
O 0.146 0.032 0.882
O 0.854 0.532 0.618
P 0.732 0.198 0.402
H 0.693 0.275 0.482
O 0.414 0.881 0.680
O 0.811 0.166 0.858
O 0.586 0.119 0.320
O 0.339 0.182 0.105
O 0.661 0.682 0.395
O 0.345 0.150 0.454
O 0.655 0.650 0.046
O 0.060 0.084 0.293
O 0.942 0.823 0.883
O 0.655 0.850 0.546
O 0.143 0.563 0.043
P 0.550 0.746 0.446
O 0.854 0.968 0.118
H 0.148 0.747 0.828
H 0.634 0.973 0.249
H 0.279 0.432 0.331
O 0.345 0.350 0.954
O 0.811 0.334 0.358
Nd 0.685 0.919 0.733
O 0.591 0.165 0.632
H 0.502 0.105 0.015
O 0.409 0.665 0.868
O 0.591 0.335 0.132
O 0.349 0.385 0.299
O 0.058 0.323 0.617
O 0.146 0.468 0.382
H 0.498 0.895 0.985
H 0.307 0.725 0.518
O 0.940 0.584 0.207
O 0.942 0.677 0.383
O 0.940 0.916 0.707
P 0.048 0.621 0.326
P 0.450 0.254 0.554
H 0.502 0.395 0.515
P 0.550 0.754 0.946
Nd 0.092 0.214 0.464
Nd 0.315 0.419 0.767


No. 8
Computed, not measured: a relaxed structure of NdP3H6O12 at the PBE-GGA level of DFT.

- crystal system = hexagonal
- space-group type = P-6, No. 174
- electronic total energy (eV per atom) = -6.45

a = 6.478 Å, b = 6.478 Å, c = 6.119 Å
α = 90.00°, β = 90.00°, γ = 120.00°
Fractional positions:
O 0.013 0.740 0.288
Nd 0.000 0.000 0.000
P 0.714 0.095 0.500
O 0.013 0.740 0.712
O 0.260 0.273 0.712
P 0.381 0.286 0.500
H 0.037 0.498 0.874
P 0.905 0.619 0.500
O 0.727 0.987 0.288
O 0.908 0.373 0.500
H 0.502 0.539 0.874
O 0.021 0.398 0.000
O 0.465 0.092 0.500
O 0.377 0.979 0.000
H 0.037 0.498 0.126
O 0.260 0.273 0.288
H 0.461 0.963 0.874
O 0.627 0.535 0.500
H 0.461 0.963 0.126
H 0.502 0.539 0.126
O 0.727 0.987 0.712
O 0.602 0.623 0.000


No. 9
Computed, not measured: a relaxed structure of NdHSO5 at the PBE-GGA level of DFT.

- crystal system = monoclinic
- space-group type = P2_1/c, No. 14
- electronic total energy (eV per atom) = -6.71

a = 4.454 Å, b = 12.367 Å, c = 6.789 Å
α = 90.00°, β = 106.56°, γ = 90.00°
Fractional positions:
S 0.982 0.854 0.886
O 0.136 0.168 0.937
O 0.249 0.433 0.550
O 0.751 0.567 0.450
O 0.095 0.755 0.815
H 0.763 0.159 0.472
O 0.405 0.255 0.685
H 0.263 0.341 0.972
O 0.307 0.412 0.040
S 0.482 0.646 0.386
O 0.261 0.096 0.286
O 0.251 0.933 0.950
O 0.636 0.332 0.437
O 0.739 0.904 0.714
O 0.193 0.912 0.460
S 0.018 0.146 0.114
Nd 0.862 0.436 0.197
O 0.749 0.067 0.050
O 0.807 0.088 0.540
H 0.737 0.659 0.028
S 0.518 0.354 0.614
O 0.693 0.588 0.960
O 0.905 0.245 0.185
Nd 0.362 0.064 0.697
O 0.595 0.745 0.315
O 0.239 0.596 0.214
O 0.761 0.404 0.786
H 0.237 0.841 0.528
O 0.364 0.668 0.563
O 0.864 0.832 0.063
Nd 0.638 0.936 0.303
Nd 0.138 0.564 0.803


No. 10
Computed, not measured: a relaxed structure of NdH3S2O9 at the PBE-GGA level of DFT.

- crystal system = monoclinic
- space-group type = P2_1/c, No. 14
- electronic total energy (eV per atom) = -6.17

a = 8.480 Å, b = 6.935 Å, c = 10.606 Å
α = 90.00°, β = 91.19°, γ = 90.00°
Fractional positions:
Nd 0.058 0.168 0.846
S 0.806 0.337 0.109
S 0.194 0.837 0.391
H 0.410 0.788 0.136
H 0.469 0.402 0.877
H 0.653 0.445 0.845
O 0.879 0.565 0.438
O 0.263 0.187 0.679
O 0.604 0.987 0.877
O 0.897 0.006 0.680
O 0.565 0.350 0.837
H 0.410 0.712 0.636
S 0.719 0.844 0.917
Nd 0.942 0.668 0.654
O 0.362 0.629 0.892
O 0.131 0.673 0.019
O 0.435 0.850 0.663
H 0.590 0.288 0.364
O 0.103 0.506 0.820
O 0.263 0.313 0.179
O 0.150 0.838 0.812
O 0.396 0.487 0.623
O 0.850 0.162 0.188
O 0.435 0.650 0.163
H 0.531 0.902 0.623
O 0.638 0.371 0.108
H 0.590 0.212 0.864
H 0.469 0.098 0.377
O 0.396 0.013 0.123
O 0.737 0.813 0.321
O 0.131 0.827 0.519
O 0.879 0.935 0.938
H 0.653 0.055 0.345
H 0.531 0.598 0.123
O 0.869 0.327 0.981
H 0.347 0.945 0.655
O 0.869 0.173 0.481
S 0.281 0.344 0.583
S 0.281 0.156 0.083
O 0.897 0.494 0.180
H 0.347 0.555 0.155
O 0.737 0.687 0.821
O 0.313 0.258 0.458
Nd 0.942 0.832 0.154
S 0.719 0.656 0.417
O 0.150 0.662 0.312
S 0.806 0.163 0.609
O 0.687 0.742 0.542
O 0.565 0.150 0.337
O 0.103 0.994 0.320
O 0.638 0.129 0.608
O 0.121 0.065 0.062
O 0.687 0.758 0.042
O 0.121 0.435 0.562
O 0.313 0.242 0.958
O 0.850 0.338 0.688
O 0.604 0.513 0.377
S 0.194 0.663 0.891
O 0.362 0.871 0.392
Nd 0.058 0.332 0.346


No. 11
Computed, not measured: a relaxed structure of Nd8Sb4H2O at the PBE-GGA level of DFT.

- crystal system = tetragonal
- space-group type = I4/mmm, No. 139
- electronic total energy (eV per atom) = -5.54

a = 17.866 Å, b = 17.866 Å, c = 17.866 Å
α = 164.99°, β = 164.99°, γ = 21.29°
Fractional positions:
Sb 0.432 0.432 0.000
H 0.728 0.728 0.000
Nd 0.340 0.340 0.000
Nd 0.750 0.250 0.500
Nd 0.912 0.912 0.000
Nd 0.088 0.088 0.000
O 0.000 0.000 0.000
Sb 0.180 0.180 0.000
Nd 0.660 0.660 0.000
H 0.272 0.272 0.000
Sb 0.820 0.820 0.000
Nd 0.500 0.000 0.500
Nd 0.250 0.750 0.500
Nd 0.000 0.500 0.500
Sb 0.568 0.568 0.000


No. 12
Computed, not measured: a relaxed structure of NdH3Se3O12 at the PBE-GGA level of DFT.

- crystal system = hexagonal
- space-group type = P6_3/m, No. 176
- electronic total energy (eV per atom) = -5.51

a = 9.385 Å, b = 9.385 Å, c = 6.102 Å
α = 90.00°, β = 90.00°, γ = 120.00°
Fractional positions:
O 0.163 0.988 0.250
H 0.155 0.049 0.750
O 0.965 0.450 0.250
O 0.781 0.552 0.527
O 0.448 0.229 0.972
Se 0.895 0.604 0.750
O 0.229 0.781 0.473
H 0.107 0.155 0.250
O 0.219 0.448 0.027
Se 0.396 0.291 0.750
O 0.771 0.219 0.527
O 0.229 0.781 0.027
H 0.951 0.107 0.750
Nd 0.667 0.333 0.250
O 0.552 0.771 0.472
Nd 0.333 0.667 0.750
H 0.049 0.893 0.250
O 0.176 0.163 0.750
O 0.515 0.965 0.750
H 0.845 0.951 0.250
O 0.550 0.515 0.250
O 0.012 0.176 0.250
O 0.771 0.219 0.973
O 0.781 0.552 0.973
O 0.552 0.771 0.028
O 0.450 0.485 0.750
Se 0.291 0.895 0.250
O 0.988 0.824 0.750
Se 0.709 0.105 0.750
O 0.824 0.837 0.250
Se 0.105 0.396 0.250
O 0.837 0.012 0.750
O 0.485 0.035 0.250
O 0.448 0.229 0.528
O 0.219 0.448 0.473
H 0.893 0.845 0.750
O 0.035 0.550 0.750
Se 0.604 0.709 0.250